No. 1
VASP calculation (PBE-GGA) on an optimized crystal structure of Sm8ZnSb2.

Computed properties:
* total DFT energy (no corrections): -51.702 eV for the cell shown
* ΔE_f (raw): -402.8 meV/atom
* crystal system: monoclinic
* calculated volume: 333.5 Å³ per cell

abc: 10.010 10.010 6.995
angles: 101.79 101.79 29.14
Element x y z (fractional)
1 Sm 0.015 0.015 0.275
2 Sm 0.216 0.216 0.834
3 Sm 0.344 0.344 0.484
4 Sm 0.408 0.408 0.016
5 Sm 0.592 0.592 0.984
6 Sm 0.656 0.656 0.516
7 Sm 0.784 0.784 0.166
8 Sm 0.985 0.985 0.725
9 Zn 0.500 0.500 0.500
10 Sb 0.180 0.180 0.264
11 Sb 0.820 0.820 0.736



No. 2
VASP calculation (PBE-GGA) on an optimized crystal structure of La2PmPrTm5.

Computed properties:
* total DFT energy (no corrections): -79.083 eV for the cell shown
* crystal system: tetragonal
* formation energy: 0.245 eV/atom
* calculated volume: 589.8 Å³ per cell

abc: 9.961 9.961 9.961
angles: 128.43 128.43 75.93
Element x y z (fractional)
1 La 0.117 0.617 0.735
2 La 0.383 0.117 0.500
3 La 0.617 0.883 0.500
4 La 0.883 0.383 0.265
5 Pm 0.250 0.250 0.000
6 Pm 0.750 0.750 0.000
7 Pr 0.250 0.750 0.500
8 Pr 0.750 0.250 0.500
9 Tm 0.000 0.000 0.000
10 Tm 0.073 0.147 0.500
11 Tm 0.147 0.647 0.073
12 Tm 0.353 0.427 0.500
13 Tm 0.427 0.927 0.073
14 Tm 0.500 0.500 0.000
15 Tm 0.573 0.073 0.927
16 Tm 0.647 0.573 0.500
17 Tm 0.853 0.353 0.927
18 Tm 0.927 0.853 0.500



No. 3
VASP calculation (PBE-GGA) on an optimized crystal structure of TePd2Se4.

Computed properties:
* total DFT energy (no corrections): -57.264 eV for the cell shown
* ΔE_f (raw): -166.6 meV/atom
* crystal system: orthorhombic
* calculated volume: 330.8 Å³ per cell

abc: 8.401 8.009 7.195
angles: 66.84 61.22 51.94
Element x y z (fractional)
1 Te 0.125 0.125 0.125
2 Te 0.875 0.875 0.875
3 Pd 0.000 0.500 0.500
4 Pd 0.500 0.000 0.500
5 Pd 0.500 0.500 0.000
6 Pd 0.500 0.500 0.500
7 Se 0.218 0.701 0.320
8 Se 0.261 0.320 0.701
9 Se 0.299 0.782 0.739
10 Se 0.320 0.261 0.218
11 Se 0.680 0.739 0.782
12 Se 0.701 0.218 0.261
13 Se 0.739 0.680 0.299
14 Se 0.782 0.299 0.680



No. 4
VASP calculation (PBE-GGA) on an optimized crystal structure of InPbBr.

Computed properties:
* total DFT energy (no corrections): -8.734 eV for the cell shown
* ΔE_f (raw): -204.8 meV/atom
* crystal system: orthorhombic
* calculated volume: 89.3 Å³ per cell
* energy above the lowest structure with this stoichiometry: 30 kJ/mol of formula units

abc: 8.335 7.976 3.594
angles: 82.91 71.75 25.34
Element x y z (fractional)
1 In 0.000 0.000 0.000
2 Pb 0.680 0.680 0.320
3 Br 0.352 0.352 0.648



No. 5
VASP calculation (PBE-GGA) on an optimized crystal structure of Pu7InRu4.

Computed properties:
* total DFT energy (no corrections): -138.805 eV for the cell shown
* crystal system: monoclinic
* formation energy: 0.113 eV/atom
* calculated volume: 270.7 Å³ per cell

abc: 7.020 7.020 9.174
angles: 121.91 121.91 47.13
Element x y z (fractional)
1 Pu 0.000 0.000 0.000
2 Pu 0.178 0.178 0.616
3 Pu 0.299 0.299 0.105
4 Pu 0.438 0.438 0.619
5 Pu 0.562 0.562 0.381
6 Pu 0.701 0.701 0.895
7 Pu 0.822 0.822 0.384
8 In 0.500 0.500 0.000
9 Ru 0.064 0.064 0.771
10 Ru 0.197 0.197 0.342
11 Ru 0.803 0.803 0.658
12 Ru 0.936 0.936 0.229



No. 6
VASP calculation (PBE-GGA) on an optimized crystal structure of ThTi6.

Computed properties:
* total DFT energy (no corrections): -45.437 eV for the cell shown
* crystal system: cubic
* formation energy: 1.336 eV/atom
* calculated volume: 164.7 Å³ per cell

abc: 5.981 5.981 5.981
angles: 109.47 109.47 109.47
Element x y z (fractional)
1 Th 0.000 0.000 0.000
2 Ti 0.250 0.500 0.750
3 Ti 0.250 0.750 0.500
4 Ti 0.500 0.250 0.750
5 Ti 0.500 0.750 0.250
6 Ti 0.750 0.250 0.500
7 Ti 0.750 0.500 0.250



No. 7
VASP calculation (PBE-GGA) on an optimized crystal structure of GaRe3As.

Computed properties:
* total DFT energy (no corrections): -36.785 eV for the cell shown
* crystal system: cubic
* formation energy: 1.647 eV/atom
* calculated volume: 94.1 Å³ per cell
* energy above the lowest structure with this stoichiometry: 0 kJ/mol of formula units

abc: 4.548 4.548 4.548
angles: 90.00 90.00 90.00
Element x y z (fractional)
1 Ga 0.000 0.000 0.000
2 Re 0.000 0.500 0.500
3 Re 0.500 0.000 0.500
4 Re 0.500 0.500 0.000
5 As 0.500 0.500 0.500



No. 8
VASP calculation (PBE-GGA) on an optimized crystal structure of CuICl.

Computed properties:
* total DFT energy (no corrections): -8.397 eV for the cell shown
* ΔE_f (raw): -301.2 meV/atom
* crystal system: triclinic
* calculated volume: 93.3 Å³ per cell
* energy above the lowest structure with this stoichiometry: 3 kJ/mol of formula units

abc: 3.471 4.557 6.663
angles: 77.25 75.07 67.63
Element x y z (fractional)
1 Cu 0.000 0.000 0.000
2 I 0.492 0.278 0.735
3 Cl 0.502 0.791 0.207



No. 9
VASP calculation (PBE-GGA) on an optimized crystal structure of MgHgIr.

Computed properties:
* total DFT energy (no corrections): -10.556 eV for the cell shown
* crystal system: trigonal
* formation energy: 0.067 eV/atom
* calculated volume: 52.6 Å³ per cell
* energy above the lowest structure with this stoichiometry: 22 kJ/mol of formula units

abc: 4.498 4.498 3.000
angles: 90.00 90.00 120.00
Element x y z (fractional)
1 Mg 0.000 0.000 0.000
2 Hg 0.667 0.333 0.298
3 Ir 0.333 0.667 0.711



No. 10
VASP calculation (PBE-GGA) on an optimized crystal structure of Er2AlCu.

Computed properties:
* total DFT energy (no corrections): -18.310 eV for the cell shown
* crystal system: tetragonal
* formation energy: -0.336 eV/atom
* calculated volume: 86.5 Å³ per cell

abc: 3.440 3.440 7.310
angles: 90.00 90.00 90.00
Element x y z (fractional)
1 Er 0.000 0.000 0.235
2 Er 0.000 0.000 0.765
3 Al 0.500 0.500 0.500
4 Cu 0.500 0.500 0.000



No. 11
VASP calculation (PBE-GGA) on an optimized crystal structure of Cs3Te4Au.

Computed properties:
* total DFT energy (no corrections): -23.457 eV for the cell shown
* ΔE_f (raw): -631.6 meV/atom
* crystal system: orthorhombic
* calculated volume: 366.2 Å³ per cell
* energy above the lowest structure with this stoichiometry: 0 kJ/mol of formula units

abc: 8.235 8.235 8.235
angles: 134.38 93.96 103.38
Element x y z (fractional)
1 Cs 0.000 0.000 0.000
2 Cs 0.147 0.369 0.778
3 Cs 0.591 0.369 0.222
4 Te 0.067 0.696 0.371
5 Te 0.325 0.696 0.629
6 Te 0.648 0.411 0.763
7 Te 0.648 0.885 0.237
8 Au 0.433 0.933 0.500



No. 12
VASP calculation (PBE-GGA) on an optimized crystal structure of Mg5GaPb2.

Computed properties:
* total DFT energy (no corrections): -17.177 eV for the cell shown
* crystal system: tetragonal
* formation energy: 0.155 eV/atom
* calculated volume: 220.3 Å³ per cell
* energy above the lowest structure with this stoichiometry: 120 kJ/mol of formula units

abc: 6.744 6.744 4.844
angles: 90.00 90.00 90.00
Element x y z (fractional)
1 Mg 0.000 0.000 0.000
2 Mg 0.278 0.278 0.500
3 Mg 0.278 0.722 0.500
4 Mg 0.722 0.278 0.500
5 Mg 0.722 0.722 0.500
6 Ga 0.000 0.000 0.500
7 Pb 0.000 0.500 0.000
8 Pb 0.500 0.000 0.000